# 1
Below is Na2Sr8Ga after structural relaxation, with properties calculated at the GGA-PBE level.

The structure in POSCAR format:
```
Na2Sr8Ga
1.0
10.799 -3.089 0.000
10.799 3.089 0.000
-2.385 0.000 7.687
Na Sr Ga
2 8 1
direct
0.184 0.184 0.237
0.816 0.816 0.763
0.019 0.019 0.288
0.204 0.204 0.803
0.355 0.355 0.533
0.411 0.411 0.076
0.589 0.589 0.924
0.645 0.645 0.467
0.796 0.796 0.197
0.981 0.981 0.712
0.500 0.500 0.500
```

Output
Formation enthalpy at 0 K (eV/atom): -0.024



# 2
Below is V3ZnN after structural relaxation, with properties calculated at the GGA-PBE level.

The structure in POSCAR format:
```
V3ZnN
1.0
3.939 0.000 0.000
0.000 3.939 0.000
0.000 0.000 3.939
V Zn N
3 1 1
direct
0.000 0.000 0.500
0.000 0.500 0.000
0.500 0.000 0.000
0.500 0.500 0.500
0.000 0.000 0.000
```



# 3
Below is BaScCo2 after structural relaxation, with properties calculated at the GGA-PBE level.

The structure in POSCAR format:
```
BaScCo2
1.0
3.781 0.000 0.000
0.000 4.130 0.000
0.000 0.000 12.860
Ba Sc Co
2 2 4
direct
0.000 0.000 0.000
0.500 0.500 0.500
0.000 0.500 0.246
0.500 0.000 0.746
0.000 0.000 0.362
0.000 0.500 0.776
0.500 0.000 0.276
0.500 0.500 0.862
```

Output
Formation enthalpy at 0 K (eV/atom): 0.222
Excess energy over the best structure of this formula in the dataset (meV/atom): 140



# 4
Below is Ba2LaAu after structural relaxation, with properties calculated at the GGA-PBE level.

The structure in POSCAR format:
```
Ba2LaAu
1.0
4.065 0.000 0.000
0.000 6.271 0.000
0.000 0.000 13.044
Ba La Au
4 2 2
direct
0.000 0.000 0.000
0.000 0.500 0.193
0.500 0.000 0.693
0.500 0.500 0.500
0.000 0.500 0.812
0.500 0.000 0.312
0.000 0.000 0.483
0.500 0.500 0.983
```

Output
Formation enthalpy at 0 K (eV/atom): -0.262
Excess energy over the best structure of this formula in the dataset (meV/atom): 61



# 5
Below is Sc3TlN after structural relaxation, with properties calculated at the GGA-PBE level.

The structure in POSCAR format:
```
Sc3TlN
1.0
3.176 -6.507 0.000
3.176 6.507 0.000
0.000 0.000 4.441
Sc Tl N
6 2 2
direct
0.000 0.500 0.500
0.130 0.870 0.000
0.233 0.233 0.500
0.500 0.000 0.500
0.767 0.767 0.500
0.870 0.130 0.000
0.373 0.627 0.000
0.627 0.373 0.000
0.129 0.871 0.500
0.871 0.129 0.500
```



# 6
Below is Mg2AsPb after structural relaxation, with properties calculated at the GGA-PBE level.

The structure in POSCAR format:
```
Mg2AsPb
1.0
3.940 0.000 0.000
0.000 5.445 0.000
0.000 0.000 8.823
Mg As Pb
4 2 2
direct
0.000 0.000 0.216
0.000 0.000 0.784
0.500 0.500 0.284
0.500 0.500 0.716
0.000 0.500 0.500
0.500 0.000 0.000
0.000 0.500 0.000
0.500 0.000 0.500
```

Output
Formation enthalpy at 0 K (eV/atom): -0.133
Excess energy over the best structure of this formula in the dataset (meV/atom): 91



# 7
Below is NbVCr after structural relaxation, with properties calculated at the GGA-PBE level.

The structure in POSCAR format:
```
NbVCr
1.0
2.578 0.000 0.000
0.000 2.578 0.000
0.000 0.000 14.320
Nb V Cr
2 2 2
direct
0.000 0.000 0.000
0.500 0.500 0.500
0.000 0.000 0.659
0.500 0.500 0.159
0.000 0.000 0.820
0.500 0.500 0.320
```

Output
Formation enthalpy at 0 K (eV/atom): 0.824
Excess energy over the best structure of this formula in the dataset (meV/atom): 933



# 8
Below is ZrScAl2 after structural relaxation, with properties calculated at the GGA-PBE level.

The structure in POSCAR format:
```
ZrScAl2
1.0
3.208 0.000 0.000
0.000 4.236 0.000
0.000 0.000 5.927
Zr Sc Al
1 1 2
direct
0.000 0.000 0.000
0.500 0.500 0.739
0.000 0.000 0.501
0.500 0.500 0.238
```

Output
Formation enthalpy at 0 K (eV/atom): -0.179
Excess energy over the best structure of this formula in the dataset (meV/atom): 260



# 9
Below is CePuCdAu after structural relaxation, with properties calculated at the GGA-PBE level.

The structure in POSCAR format:
```
CePuCdAu
1.0
7.463 0.000 0.000
0.000 7.463 0.000
0.000 0.000 7.463
Ce Pu Cd Au
4 4 4 4
direct
0.000 0.000 0.000
0.000 0.500 0.500
0.500 0.000 0.500
0.500 0.500 0.000
0.000 0.000 0.500
0.000 0.500 0.000
0.500 0.000 0.000
0.500 0.500 0.500
0.250 0.250 0.250
0.250 0.750 0.750
0.750 0.250 0.750
0.750 0.750 0.250
0.250 0.250 0.750
0.250 0.750 0.250
0.750 0.250 0.250
0.750 0.750 0.750
```

Output
Formation enthalpy at 0 K (eV/atom): -0.230



# 10
Below is MoPtRh5W2 after structural relaxation, with properties calculated at the GGA-PBE level.

The structure in POSCAR format:
```
MoPtRh5W2
1.0
-3.676 3.676 5.452
3.676 -3.676 5.452
3.676 3.676 -5.452
Mo Pt Rh W
2 2 10 4
direct
0.250 0.250 0.000
0.750 0.750 0.000
0.250 0.750 0.500
0.750 0.250 0.500
0.000 0.000 0.000
0.075 0.575 0.916
0.159 0.075 0.500
0.341 0.841 0.916
0.425 0.341 0.500
0.500 0.500 0.000
0.575 0.659 0.500
0.659 0.159 0.084
0.841 0.925 0.500
0.925 0.425 0.084
0.115 0.385 0.500
0.385 0.885 0.270
0.615 0.115 0.730
0.885 0.615 0.500
```

Output
Formation enthalpy at 0 K (eV/atom): 0.471



# 11
Below is Ga2TcRu after structural relaxation, with properties calculated at the GGA-PBE level.

The structure in POSCAR format:
```
Ga2TcRu
1.0
3.033 0.000 0.000
0.000 3.033 0.000
0.000 0.000 6.154
Ga Tc Ru
2 1 1
direct
0.000 0.000 0.243
0.000 0.000 0.757
0.500 0.500 0.500
0.500 0.500 0.000
```

Output
Formation enthalpy at 0 K (eV/atom): -0.157
Excess energy over the best structure of this formula in the dataset (meV/atom): 0



# 12
Below is CsNbIO2 after structural relaxation, with properties calculated at the GGA-PBE level.

The structure in POSCAR format:
```
CsNbIO2
1.0
4.412 0.000 0.000
0.000 4.412 0.000
0.000 0.000 5.754
Cs Nb I O
1 1 1 2
direct
0.000 0.000 0.000
0.500 0.500 0.500
0.500 0.500 0.000
0.000 0.500 0.500
0.500 0.000 0.500
```

Output
Excess energy over the best structure of this formula in the dataset (meV/atom): 0



# 13
Below is ReAsRu after structural relaxation, with properties calculated at the GGA-PBE level.

The structure in POSCAR format:
```
ReAsRu
1.0
2.873 0.000 0.000
-1.436 2.488 0.000
0.000 0.000 12.461
Re As Ru
2 2 2
direct
0.000 0.000 0.000
0.000 0.000 0.500
0.667 0.333 0.162
0.667 0.333 0.838
0.333 0.667 0.333
0.333 0.667 0.667
```

Output
Formation enthalpy at 0 K (eV/atom): 0.147
Excess energy over the best structure of this formula in the dataset (meV/atom): 11



# 14
Below is NaAc2RuO8 after structural relaxation, with properties calculated at the GGA-PBE level.

The structure in POSCAR format:
```
NaAc2RuO8
1.0
4.524 0.000 0.000
-0.079 5.249 0.000
-1.391 -0.025 7.417
Na Ac Ru O
1 2 1 8
direct
0.000 0.000 0.000
0.368 0.490 0.719
0.632 0.510 0.281
0.000 0.000 0.500
0.157 0.453 0.018
0.172 0.695 0.408
0.263 0.212 0.412
0.272 0.984 0.736
0.728 0.016 0.264
0.737 0.788 0.588
0.828 0.305 0.592
0.843 0.547 0.982
```



# 15
Below is Si2MoP after structural relaxation, with properties calculated at the GGA-PBE level.

The structure in POSCAR format:
```
Si2MoP
1.0
3.256 0.000 0.000
0.000 3.256 0.000
0.000 0.000 5.332
Si Mo P
2 1 1
direct
0.000 0.000 0.000
0.500 0.500 0.213
0.000 0.000 0.503
0.500 0.500 0.691
```



Number 1: energy -1.76 eV per atom, calculated volume 46.618 A^3/atom, DOS at the Fermi energy 11.23 states/eV/f.u.. Number 2: energy -7.89 eV per atom, calculated volume 12.224 A^3/atom, DOS at the Fermi energy 7.01 states/eV/f.u.. Number 3: energy -5.39 eV per atom, calculated volume 25.102 A^3/atom, DOS at the Fermi energy 4.25 states/eV/f.u.. Number 4: energy -3.27 eV per atom, calculated volume 41.565 A^3/atom, DOS at the Fermi energy 5.46 states/eV/f.u.. Number 5: energy -6.92 eV per atom, calculated volume 18.353 A^3/atom, DOS at the Fermi energy 3.32 states/eV/f.u.. Number 6: energy -3.02 eV per atom, calculated volume 23.664 A^3/atom, DOS at the Fermi energy 1.32 states/eV/f.u.. Number 7: energy -8.78 eV per atom, calculated volume 15.866 A^3/atom, DOS at the Fermi energy 2.94 states/eV/f.u.. Number 8: energy -5.77 eV per atom, calculated volume 20.141 A^3/atom, DOS at the Fermi energy 3.85 states/eV/f.u.. Number 9: energy -6.34 eV per atom, calculated volume 25.976 A^3/atom, DOS at the Fermi energy 15.96 states/eV/f.u.. Number 10: energy -8.37 eV per atom, calculated volume 16.370 A^3/atom, DOS at the Fermi energy 10.14 states/eV/f.u.. Number 11: energy -6.58 eV per atom, calculated volume 14.150 A^3/atom, DOS at the Fermi energy 3.62 states/eV/f.u.. Number 12: energy -5.58 eV per atom, calculated volume 22.400 A^3/atom, DOS at the Fermi energy 1.79 states/eV/f.u.. Number 13: energy -8.64 eV per atom, calculated volume 14.846 A^3/atom, DOS at the Fermi energy 1.92 states/eV/f.u.. Number 14: energy -6.72 eV per atom, calculated volume 14.675 A^3/atom, DOS at the Fermi energy 2.88 states/eV/f.u.. Number 15: energy -6.70 eV per atom, calculated volume 14.135 A^3/atom, DOS at the Fermi energy 1.97 states/eV/f.u..